The following is a DFT calculation (PBE with a Hubbard U) of an optimized crystal structure of KNiNO2.

Cell: 4.621 4.621 4.704 Å, 90.00 90.00 90.00°
Positions (direct):
K 0.000 0.000 0.000
Ni 0.500 0.500 0.500
N 0.000 0.000 0.500
O 0.000 0.500 0.000
O 0.500 0.000 0.000

Calculated values
Theoretical density: 2.377 g/cm³
Raw total energy: -2.466 eV per atom
SG: P4/mmm, No. 123
Total moment: 6.02 μB per formula unit